The following is a DFT calculation (GGA-PBE) of a geometry-optimized CoPt3 structure.

The value obtained for the total magnetization is 2.6 μB per cell. The value obtained for the density of states at the Fermi level is 0.99 states/eV/atom. The formation energy is 1.39 eV per atom.

The structure belongs to space group Pm-3m (No. 221); the cell edges are 4.576, 4.576 and 4.576 Å and the angles 90.00°, 90.00° and 90.00°. The inequivalent atoms are Co at (0.000, 0.000, 0.000) and Pt at (0.000, 0.000, 0.500).